# CsTbPm GGA-PBE relaxed
data_CsTbPm
_chemical_formula_sum 'Cs4 Tb4 Pm4'
_cell_length_a 7.8753
_cell_length_b 7.8753
_cell_length_c 7.8753
_cell_angle_alpha 90.00
_cell_angle_beta 90.00
_cell_angle_gamma 90.00
_symmetry_space_group_name_H-M 'F -4 3 m'
_symmetry_Int_Tables_number 216
_symmetry_space_group_name_Hall 'F -4 2 3'
loop_
_atom_site_label
_atom_site_type_symbol
_atom_site_fract_x
_atom_site_fract_y
_atom_site_fract_z
_atom_site_occupancy
Cs1 Cs 0.0000 0.0000 0.0000 1
Tb1 Tb 0.2500 0.2500 0.2500 1
Pm1 Pm 0.2500 0.2500 0.7500 1
# magnetic moment	0.00	μB per atom
# electronic total energy	-2.20	eV per atom

---

# SrNb2Cu GGA-PBE relaxed
data_SrNb2Cu
_chemical_formula_sum 'Sr4 Nb8 Cu4'
_cell_length_a 6.8417
_cell_length_b 6.8417
_cell_length_c 6.8417
_cell_angle_alpha 90.00
_cell_angle_beta 90.00
_cell_angle_gamma 90.00
_symmetry_space_group_name_H-M 'F -4 3 m'
_symmetry_Int_Tables_number 216
_symmetry_space_group_name_Hall 'F -4 2 3'
loop_
_atom_site_label
_atom_site_type_symbol
_atom_site_fract_x
_atom_site_fract_y
_atom_site_fract_z
_atom_site_occupancy
Sr1 Sr 0.0000 0.0000 0.0000 1
Nb1 Nb 0.0000 0.0000 0.5000 1
Nb2 Nb 0.2500 0.2500 0.7500 1
Cu1 Cu 0.2500 0.2500 0.2500 1
# magnetic moment	0.07	μB per atom
# electronic total energy	-5.62	eV per atom

---

# LaHfNO GGA-PBE relaxed
data_LaHfNO
_chemical_formula_sum 'La2 Hf2 N2 O2'
_cell_length_a 4.2615
_cell_length_b 4.2615
_cell_length_c 8.7082
_cell_angle_alpha 90.00
_cell_angle_beta 90.00
_cell_angle_gamma 90.00
_symmetry_space_group_name_H-M 'P 4/n m m'
_symmetry_Int_Tables_number 129
loop_
_symmetry_equiv_pos_as_xyz
'x,y,z'
'-x,-y,-z'
'-y+1/2,x,z'
'y+1/2,-x,-z'
'-x+1/2,-y+1/2,z'
'x+1/2,y+1/2,-z'
'y,-x+1/2,z'
'-y,x+1/2,-z'
'x+1/2,-y,-z'
'-x+1/2,y,z'
'-y,-x,-z'
'y,x,z'
'-x,y+1/2,-z'
'x,-y+1/2,z'
'y+1/2,x+1/2,-z'
'-y+1/2,-x+1/2,z'
loop_
_atom_site_label
_atom_site_type_symbol
_atom_site_fract_x
_atom_site_fract_y
_atom_site_fract_z
_atom_site_occupancy
La1 La 0.2500 0.2500 0.1287 1
Hf1 Hf 0.2500 0.7500 0.5000 1
N1 N 0.2500 0.2500 0.5302 1
O1 O 0.2500 0.7500 0.0000 1
# magnetic moment	0.00	μB per atom
# electronic total energy	-9.06	eV per atom